1.
The following is a DFT calculation (GGA-PBEsol) of a geometry-optimized CdP2O6 structure.

It has space group P2_12_12_1 (No. 19), with a = 7.408 Å, b = 7.489 Å, c = 8.514 Å, α = 90.00°, β = 90.00° and γ = 90.00°. The distinct sites, in fractional coordinates, are Cd at (0.020, 0.141, 0.209), P at (0.119, 0.560, 0.660), P at (0.156, 0.162, 0.596), O at (0.006, 0.559, 0.820), O at (0.040, 0.684, 0.541), O at (0.084, 0.362, 0.599), O at (0.164, 0.100, 0.431), O at (0.172, 0.855, 0.190) and O at (0.185, 0.418, 0.204).

The uncorrected formation energy comes out at -1.97 eV/atom. Its magnetization is 0.00 μB per formula unit.

---

2.
The following is a DFT calculation (GGA-PBEsol) of a geometry-optimized La2ScP2 structure.

It has space group P4/mbm (No. 127), with a = 7.553 Å, b = 7.553 Å, c = 4.071 Å, α = 90.00°, β = 90.00° and γ = 90.00°. The distinct sites, in fractional coordinates, are La at (0.149, 0.351, 0.000), Sc at (0.000, 0.000, 0.500) and P at (0.162, 0.662, 0.500).

The value obtained for the energy above the lowest structure with this stoichiometry is 0.000 eV/atom. The value obtained for the energy of formation is -1.246 eV per atom. Its magnetization is 0.00 μB per formula unit.

---

3.
The following is a DFT calculation (GGA-PBEsol) of a geometry-optimized ScInBr2 structure.

It has space group R3m (No. 160, hexagonal axes), with a = 3.6111 Å, b = 3.6111 Å, c = 27.1898 Å, α = 90.00°, β = 90.00° and γ = 120.00°. The distinct sites, in fractional coordinates, are Sc at (0.0000, 0.0000, 0.0000), In at (0.0000, 0.0000, 0.2507), Br at (0.0000, 0.0000, 0.5112) and Br at (0.0000, 0.0000, 0.7281).

The value obtained for the energy above the lowest structure with this stoichiometry is 0.000 eV/atom. The uncorrected formation energy comes out at -0.85 eV/atom. Its magnetization is 0.87 μB per formula unit.

---

4.
The following is a DFT calculation (GGA-PBEsol) of a geometry-optimized La2CrRu structure.

It has space group I-4m2 (No. 119), with a = 4.241 Å, b = 4.241 Å, c = 9.655 Å, α = 90.00°, β = 90.00° and γ = 90.00°. The distinct sites, in fractional coordinates, are La at (0.000, 0.000, 0.000), La at (0.000, 0.500, 0.250), Cr at (0.000, 0.500, 0.750) and Ru at (0.000, 0.000, 0.500).

The value obtained for the energy of formation is 0.426 eV per atom. Its magnetization is 4.02 μB per formula unit.

---

Look up the magnetization of the third one. 0.87 μB per formula unit

---

The highest magnetization belongs to which entry? La2CrRu